Here is Sm6GaCo2 after structural relaxation from Alexandria. Energies are from PBEsol.

Summary:
The space group is Immm, No. 71. The formation energy comes out at -0.22 eV/atom.

Unit cell a=8.2907 b=8.2907 c=8.2907 alpha=112.22 beta=109.31 gamma=106.92
Last column: nearest neighbours and their distance in Å.
Sites, in units of the cell vectors:
Sm: 0.0416 0.2380 0.8036  1 Co 2.70, 1 Ga 3.01
Sm: 0.1811 0.2813 0.4624  3 Co 2.89-2.99, 1 Ga 3.13
Sm: 0.1811 0.7187 0.8998  3 Co 2.89-2.99, 1 Ga 3.13
Sm: 0.3256 0.0128 0.6872  3 Co 2.72-2.90
Sm: 0.3256 0.6384 0.3128  3 Co 2.72-2.90
Sm: 0.4344 0.2380 0.1964  1 Co 2.70, 1 Ga 3.01
Sm: 0.5656 0.7620 0.8036  1 Co 2.70, 1 Ga 3.01
Sm: 0.6744 0.3616 0.6872  3 Co 2.72-2.90
Sm: 0.6744 0.9872 0.3128  3 Co 2.72-2.90
Sm: 0.8189 0.2813 0.1002  3 Co 2.89-2.99, 1 Ga 3.13
Sm: 0.8189 0.7187 0.5376  3 Co 2.89-2.99, 1 Ga 3.13
Sm: 0.9584 0.7620 0.1964  1 Co 2.70, 1 Ga 3.01
Ga: 0.0000 0.0000 0.0000  8 Sm 3.01-3.13, 2 Co 3.22
Ga: 0.5000 0.5000 0.0000  8 Sm 3.20-3.37
Co: 0.1127 0.6127 0.5000  1 Co 2.23
Co: 0.3358 0.0000 0.3358  8 Sm 2.70-2.99
Co: 0.6642 0.0000 0.6642  8 Sm 2.70-2.99
Co: 0.8873 0.3873 0.5000  1 Co 2.23

---

Here is Sm8Ga3Co after structural relaxation from Alexandria. Energies are from PBEsol.

Summary:
The space group is P6_3mc, No. 186. The formation energy comes out at -0.37 eV/atom.

Unit cell a=10.1386 b=10.1386 c=6.7923 alpha=90.00 beta=90.00 gamma=120.00
Last column: nearest neighbours and their distance in Å.
Sites, in units of the cell vectors:
Sm: 0.0000 0.0000 0.0145  6 Ga 3.31-3.38, 8 Sm 3.35-3.57
Sm: 0.0000 0.0000 0.5145  6 Ga 3.31-3.38, 8 Sm 3.35-3.57
Sm: 0.0725 0.5363 0.0000  1 Co 2.78
Sm: 0.1713 0.3426 0.2967  1 Co 2.88, 3 Ga 2.96-3.11
Sm: 0.1713 0.8287 0.2967  1 Co 2.88, 3 Ga 2.96-3.11
Sm: 0.3333 0.6667 0.6172  1 Co 2.62
Sm: 0.3426 0.1713 0.7967  1 Co 2.88, 3 Ga 2.96-3.11
Sm: 0.4637 0.5363 0.0000  1 Co 2.78
Sm: 0.4637 0.9275 0.0000  1 Co 2.78
Sm: 0.5363 0.0725 0.5000  1 Co 2.78
Sm: 0.5363 0.4637 0.5000  1 Co 2.78
Sm: 0.6574 0.8287 0.2967  1 Co 2.88, 3 Ga 2.96-3.11
Sm: 0.6667 0.3333 0.1172  1 Co 2.62
Sm: 0.8287 0.1713 0.7967  1 Co 2.88, 3 Ga 2.96-3.11
Sm: 0.8287 0.6574 0.7967  1 Co 2.88, 3 Ga 2.96-3.11
Sm: 0.9275 0.4637 0.5000  1 Co 2.78
Ga: 0.1642 0.3284 0.7546  7 Sm 2.96-3.31
Ga: 0.1642 0.8358 0.7546  7 Sm 2.96-3.31
Ga: 0.3284 0.1642 0.2546  7 Sm 2.96-3.31
Ga: 0.6716 0.8358 0.7546  7 Sm 2.96-3.31
Ga: 0.8358 0.1642 0.2546  7 Sm 2.96-3.31
Ga: 0.8358 0.6716 0.2546  7 Sm 2.96-3.31
Co: 0.3333 0.6667 0.2316  7 Sm 2.62-2.88
Co: 0.6667 0.3333 0.7316  7 Sm 2.62-2.88